Computed, not measured: an optimized crystal structure of MnCdAu2 at the PBE level of DFT.

The density of states at the Fermi level comes out at 0.45 states/eV/atom. The value obtained for the energy relative to the elements is -0.05 eV/atom. The total energy is -16.84 eV for the cell shown. As for the space-group type: Imm2 (44).

Cell and atoms, written as POSCAR:
```
MnCdAu2
1.0
-1.268 -2.950 -3.985
0.719 -4.937 1.139
-2.502 3.812 2.325
Au Mn Cd
2 1 1
Direct
0.249 0.749 0.500
0.998 0.998 0.000
0.752 0.252 0.500
0.501 0.501 0.000
```